Computed, not measured: an optimized crystal structure of MgH2Ir5 at the PBE level of DFT.

Cell: 4.8411 8.5133 4.9262 Å, 90.00 109.20 90.00°
With the nearest neighbours (Å) after each atom.
Space group Cm (No. 8)
Asymmetric unit:
Mg 0.0000 0.0000 0.0000  2 H 1.94
H 0.1404 0.1846 0.8528  3 Ir 1.75-1.81, 1 Mg 1.94
Ir 0.0091 0.1655 0.4786  1 H 1.75
Ir 0.0103 0.5000 0.5014  10 Ir 2.69-2.90, 2 Mg 2.80-2.86
Ir 0.0233 0.3453 0.0299  2 H 1.79-1.81

Values from the calculation:
Relative energy among the computed polymorphs = 0.272 eV per formula unit
Crystal system = monoclinic
Total magnetization = 0.000 μB per atom
Total DFT energy (no corrections) = -104.0 eV/cell
D(E_F) = 10.314 states/eV/cell